# 1
The following is a DFT calculation (GGA-PBE) of YBeTl4 after structural relaxation.

a b c (Å): 8.821 8.821 8.821
angles (deg): 90.00 90.00 90.00
Space group F-43m (No. 216)
Asymmetric unit:
Y: 0.000 0.000 0.000 (multiplicity 4)
Be: 0.250 0.250 0.750 (multiplicity 4)
Tl: 0.125 0.125 0.375 (multiplicity 16)

## Properties
As for the density of states at the Fermi level: 1.072 states/eV per atom. As for the spin magnetization: 0.0 μB/f.u. As for the uncorrected energy: -2.75 eV per atom.

# 2
The following is a DFT calculation (GGA-PBE) of ReHgW2 after structural relaxation.

a b c (Å): 2.8740 2.8740 28.4726
angles (deg): 90.00 90.00 120.00
Space group R-3m (No. 166, hexagonal axes)
Asymmetric unit:
Re: 0.0000 0.0000 0.0000 (multiplicity 3)
Hg: 0.0000 0.0000 0.5000 (multiplicity 3)
W: 0.0000 0.0000 0.2565 (multiplicity 6)

## Properties
As for the density of states at the Fermi level: 0.901 states/eV per atom. As for the spin magnetization: 0.0 μB/f.u. As for the uncorrected energy: -9.16 eV per atom.

# 3
The following is a DFT calculation (GGA-PBE) of KYCdPb after structural relaxation.

a b c (Å): 7.878 7.878 7.878
angles (deg): 90.00 90.00 90.00
Space group F-43m (No. 216)
Asymmetric unit:
K: 0.000 0.000 0.000 (multiplicity 4)
Y: 0.000 0.000 0.500 (multiplicity 4)
Cd: 0.250 0.250 0.750 (multiplicity 4)
Pb: 0.250 0.250 0.250 (multiplicity 4)

## Properties
As for the density of states at the Fermi level: 0.376 states/eV per atom. As for the spin magnetization: 0.0 μB/f.u. As for the uncorrected energy: -3.19 eV per atom.

# 4
The following is a DFT calculation (GGA-PBE) of Mg2AlW after structural relaxation.

a b c (Å): 3.023 4.857 9.642
angles (deg): 90.00 90.00 90.00
Space group Imm2 (No. 44)
Asymmetric unit:
Mg: 0.000 0.000 0.000 (multiplicity 2)
Mg: 0.000 0.500 0.233 (multiplicity 2)
Al: 0.000 0.000 0.479 (multiplicity 2)
W: 0.000 0.500 0.753 (multiplicity 2)

## Properties
As for the density of states at the Fermi level: 0.625 states/eV per atom. As for the spin magnetization: 0.0 μB/f.u. As for the uncorrected energy: -4.65 eV per atom.

# 5
The following is a DFT calculation (GGA-PBE) of Nd2Sm9Tm after structural relaxation.

a b c (Å): 5.125 5.125 15.365
angles (deg): 90.00 90.00 90.00
Space group P4/mmm (No. 123)
Asymmetric unit:
Nd: 0.000 0.000 0.168 (multiplicity 2)
Sm: 0.000 0.500 0.000 (multiplicity 2)
Sm: 0.000 0.500 0.336 (multiplicity 4)
Sm: 0.500 0.500 0.168 (multiplicity 2)
Sm: 0.500 0.500 0.500 (multiplicity 1)
Tm: 0.000 0.000 0.500 (multiplicity 1)

## Properties
As for the density of states at the Fermi level: 1.655 states/eV per atom. As for the spin magnetization: 0.0 μB/f.u. As for the uncorrected energy: -4.69 eV per atom. The distance to the lowest polymorph of the same formula comes out at 0.00 eV per formula unit.

# 6
The following is a DFT calculation (GGA-PBE) of KLa2Zn after structural relaxation.

a b c (Å): 3.869 3.855 10.462
angles (deg): 90.00 90.05 90.00
Space group P2/m (No. 10)
Asymmetric unit:
K: 0.000 0.000 0.000 (multiplicity 1)
La: 0.500 0.500 0.344 (multiplicity 2)
Zn: 0.000 0.000 0.500 (multiplicity 1)

## Properties
As for the density of states at the Fermi level: 1.072 states/eV per atom. As for the spin magnetization: 0.6 μB/f.u. As for the uncorrected energy: -3.04 eV per atom. The distance to the lowest polymorph of the same formula comes out at 0.00 eV per formula unit.

# 7
The following is a DFT calculation (GGA-PBE) of Tc3Hg after structural relaxation.

a b c (Å): 5.809 9.712 4.517
angles (deg): 90.00 90.00 90.00
Space group Cmcm (No. 63)
Asymmetric unit:
Tc: 0.000 0.172 0.250 (multiplicity 4)
Tc: 0.215 0.089 0.750 (multiplicity 8)
Hg: 0.000 0.353 0.750 (multiplicity 4)

## Properties
As for the density of states at the Fermi level: 1.090 states/eV per atom. As for the spin magnetization: 0.0 μB/f.u. As for the uncorrected energy: -7.40 eV per atom. The distance to the lowest polymorph of the same formula comes out at 0.59 eV per formula unit.

# 8
The following is a DFT calculation (GGA-PBE) of CeDyPa2 after structural relaxation.

a b c (Å): 3.193 3.193 10.261
angles (deg): 90.00 90.00 90.00
Space group P4/mmm (No. 123)
Asymmetric unit:
Ce: 0.000 0.000 0.000 (multiplicity 1)
Dy: 0.000 0.000 0.500 (multiplicity 1)
Pa: 0.500 0.500 0.242 (multiplicity 2)

## Properties
As for the density of states at the Fermi level: 1.978 states/eV per atom. As for the spin magnetization: 0.0 μB/f.u. As for the uncorrected energy: -7.23 eV per atom. The distance to the lowest polymorph of the same formula comes out at 0.00 eV per formula unit.

# 9
The following is a DFT calculation (GGA-PBE) of La8Pm3Cd after structural relaxation.

a b c (Å): 18.634 5.222 10.271
angles (deg): 90.00 123.34 90.00
Space group Cm (No. 8)
Asymmetric unit:
La: 0.000 0.000 0.000 (multiplicity 2)
La: 0.000 0.500 0.258 (multiplicity 2)
La: 0.008 0.000 0.512 (multiplicity 2)
La: 0.171 0.500 0.672 (multiplicity 2)
La: 0.174 0.000 0.937 (multiplicity 2)
La: 0.175 0.000 0.419 (multiplicity 2)
La: 0.336 0.000 0.840 (multiplicity 2)
La: 0.336 0.500 0.094 (multiplicity 2)
Pm: 0.165 0.500 0.168 (multiplicity 2)
Pm: 0.337 0.500 0.583 (multiplicity 2)
Pm: 0.499 0.000 0.748 (multiplicity 2)
Cd: 0.338 0.000 0.346 (multiplicity 2)

## Properties
As for the density of states at the Fermi level: 1.573 states/eV per atom. As for the spin magnetization: 0.0 μB/f.u. As for the uncorrected energy: -4.57 eV per atom.

# 10
The following is a DFT calculation (GGA-PBE) of Sc4CuAg2 after structural relaxation.

a b c (Å): 4.915 4.915 13.822
angles (deg): 90.00 90.00 90.00
Space group I4/mmm (No. 139)
Asymmetric unit:
Sc: 0.000 0.000 0.186 (multiplicity 4)
Sc: 0.000 0.500 0.000 (multiplicity 4)
Cu: 0.000 0.000 0.000 (multiplicity 2)
Ag: 0.000 0.000 0.384 (multiplicity 4)

## Properties
As for the density of states at the Fermi level: 1.652 states/eV per atom. As for the spin magnetization: 0.0 μB/f.u. As for the uncorrected energy: -4.87 eV per atom. The distance to the lowest polymorph of the same formula comes out at 1.72 eV per formula unit.

# 11
The following is a DFT calculation (GGA-PBE) of Li2Ac2CeTl5 after structural relaxation.

a b c (Å): 11.211 11.211 4.482
angles (deg): 90.00 90.00 90.00
Space group P4/mbm (No. 127)
Asymmetric unit:
Li: 0.116 0.384 0.000 (multiplicity 4)
Ac: 0.177 0.677 0.000 (multiplicity 4)
Ce: 0.000 0.000 0.000 (multiplicity 2)
Tl: 0.000 0.500 0.500 (multiplicity 2)
Tl: 0.068 0.215 0.500 (multiplicity 8)

## Properties
As for the density of states at the Fermi level: 1.114 states/eV per atom. As for the spin magnetization: 1.0 μB/f.u. As for the uncorrected energy: -3.27 eV per atom.

# 12
The following is a DFT calculation (GGA-PBE) of SrInCl3 after structural relaxation.

a b c (Å): 8.985 7.557 10.402
angles (deg): 90.00 96.63 90.00
Space group P2_1/c (No. 14)
Asymmetric unit:
Sr: 0.083 0.240 0.421 (multiplicity 4)
In: 0.409 0.734 0.365 (multiplicity 4)
Cl: 0.065 0.073 0.167 (multiplicity 4)
Cl: 0.204 0.577 0.051 (multiplicity 4)
Cl: 0.386 0.156 0.895 (multiplicity 4)

## Properties
As for the density of states at the Fermi level: 0.000 states/eV per atom. As for the spin magnetization: 0.0 μB/f.u. As for the uncorrected energy: -3.78 eV per atom.